# 1
{
  "formula": "TcHg2Ir",
  "functional": "PBE",
  "state": "relaxed",
  "crystal_system": "orthorhombic",
  "relative_energy_ev_per_fu": 2.09,
  "ef_ev_per_atom": 0.7330,
  "magmom_total_mub_per_cell": 2.4,
  "cell": [[-2.0094, -1.2899, 1.7887], [1.3388, -3.7010, -1.1649], [3.8618, 0.0257, 4.3567]],
  "species": ["Hg", "Hg", "Ir", "Tc"],
  "frac_coords": [[0.0000, 0.0000, 0.0020], [0.0000, 0.0000, 0.4980], [0.5000, 0.5000, 0.2500], [0.5000, 0.5000, 0.7500]]
}

=====

# 2
{
  "formula": "Tc2HgIr",
  "functional": "PBE",
  "state": "relaxed",
  "crystal_system": "orthorhombic",
  "ef_ev_per_atom": 0.4927,
  "magmom_total_mub_per_cell": 0.0,
  "cell": [[5.6365, -0.0033, 0.0003], [2.9272, 4.8168, -0.0003], [-3.6263, -3.5731, 2.4194]],
  "species": ["Hg", "Ir", "Tc", "Tc"],
  "frac_coords": [[0.5002, 0.5002, 0.0000], [0.2253, 0.7253, 0.5000], [0.9959, 0.9959, 0.0000], [0.7786, 0.2786, 0.5000]]
}

=====

# 3
{
  "formula": "TcHg2Ir",
  "functional": "PBE",
  "state": "relaxed",
  "crystal_system": "trigonal",
  "relative_energy_ev_per_fu": 1.72,
  "ef_ev_per_atom": 0.6422,
  "magmom_total_mub_per_cell": 0.3,
  "cell": [[-2.7497, 3.0076, 8.4912], [-5.3350, 1.9713, 7.5072], [-3.3991, 0.1406, 8.7826]],
  "species": ["Hg", "Hg", "Ir", "Tc"],
  "frac_coords": [[0.9997, 0.9997, 0.9997], [0.5003, 0.5003, 0.5003], [0.2500, 0.2500, 0.2500], [0.7500, 0.7500, 0.7500]]
}

=====

# 4
{
  "formula": "Tc2HgIr",
  "functional": "PBE",
  "state": "relaxed",
  "crystal_system": "monoclinic",
  "ef_ev_per_atom": 0.4083,
  "magmom_total_mub_per_cell": 0.0,
  "cell": [[4.9048, -0.0015, -0.0097], [4.0848, 2.7150, -0.0097], [0.8530, 0.2575, 4.8106]],
  "species": ["Hg", "Ir", "Tc", "Tc"],
  "frac_coords": [[0.7500, 0.7500, 0.7500], [0.2500, 0.2500, 0.2500], [0.9891, 0.9891, 0.0299], [0.5109, 0.5109, 0.4701]]
}